DFT (GGA-PBE) results for a geometry-optimized TaTcAs3 structure.

Summary:
Its crystal system is cubic. The space-group type is Pm-3m. Its energy of formation is 1.053 eV/atom. As for the excess energy over the best structure of this formula in the dataset: 0.082 eV/atom.

The structure in extended XYZ format:
```
5
Lattice="-3.722 2.976 -0.227 -2.743 -3.268 2.135 1.176 1.796 4.261" Properties=species:S:1:pos:R:3 pbc="T T T"
Tc 0.000 0.000 0.000
Ta -2.644 0.752 3.084
As -1.861 1.488 -0.113
As -1.372 -1.634 1.067
As 0.588 0.898 2.130
```

DFT (GGA-PBE) results for a geometry-optimized Ba3Ag2N structure.

Summary:
Its crystal system is monoclinic. As for the energy relative to the elements, uncorrected: -0.21 eV/atom. The space-group type is C2/m. As for the excess energy over the best structure of this formula in the dataset: 0.035 eV/atom.

The structure in extended XYZ format:
```
12
Lattice="-2.414 6.500 -3.288 -4.751 4.584 3.595 5.509 5.891 2.227" Properties=species:S:1:pos:R:3 pbc="T T T"
Ag -1.198 7.229 3.527
Ag 0.000 0.000 0.000
Ag 1.548 6.196 -0.531
Ba -2.035 6.584 0.085
Ba 0.218 3.227 -0.674
Ag -0.458 9.746 -0.993
N -4.740 7.375 0.152
Ba 2.342 6.856 2.976
Ba 0.379 10.391 2.450
Ba -3.998 10.119 -0.442
N -2.424 3.708 0.156
Ba 2.877 9.164 -0.387
```

DFT (GGA-PBE) results for a geometry-optimized NaPu2PtO8 structure.

Summary:
Its crystal system is orthorhombic. As for the energy relative to the elements, uncorrected: -1.95 eV/atom. The space-group type is Cmmm.

The structure in extended XYZ format:
```
12
Lattice="-1.722 1.254 4.348 2.887 -3.211 2.185 4.902 4.789 0.560" Properties=species:S:1:pos:R:3 pbc="T T T"
O 3.241 1.069 4.696
O 0.823 -1.380 4.600
Pu 1.803 0.213 3.406
Na 2.451 2.394 0.280
O 2.827 1.762 2.396
O 3.032 -1.247 2.745
O 3.035 4.078 4.347
O 0.297 1.403 4.035
O 5.771 1.428 3.057
Pt 0.000 0.000 0.000
Pu 4.265 2.618 3.687
O 5.245 4.212 2.493
```

DFT (GGA-PBE) results for a geometry-optimized CrNi5Rh8 structure.

Summary:
Its crystal system is tetragonal. The space-group type is I-4. Its energy of formation is 0.234 eV/atom.

The structure in extended XYZ format:
```
14
Lattice="6.296 -0.063 0.108 -2.189 5.904 -0.108 -1.917 -3.016 5.185" Properties=species:S:1:pos:R:3 pbc="T T T"
Rh 4.442 -1.489 3.499
Rh 3.447 0.476 1.804
Cr -0.959 0.674 3.862
Ni -0.274 -2.396 5.030
Rh -2.055 2.909 2.418
Rh 0.706 0.322 2.269
Ni 3.154 4.735 0.990
Ni 2.217 1.822 3.735
Rh 1.471 2.710 1.333
Ni 2.189 -1.539 2.646
Rh 1.515 -0.445 4.815
Rh -0.715 4.049 0.259
Rh -0.055 2.768 4.343
Ni -0.718 1.489 0.615
```